Pm5Nd2In4 | PBE | optimized geometry

The space group is P2/m (No. 10) and the conventional cell measures 8.794, 3.504 and 10.769 Å, with angles of 90.00, 95.80 and 90.00 degrees. Symmetry generates all atoms from Pm at (0.000, 0.000, 0.000), Pm at (0.042, 0.000, 0.334), Pm at (0.340, 0.000, 0.857), Nd at (0.417, 0.000, 0.362), In at (0.249, 0.500, 0.579) and In at (0.300, 0.500, 0.117).

Its electronic total energy is -4.31 eV/atom. For the formation enthalpy at 0 K, the calculation gives -6.6 kcal/mol of atoms.